a | A relaxed UTlRe crystal. Source: OQMD, functional GGA-PBE. Values from VASP.

Output
**Crystal system**: cubic

Geometry as Quantum ESPRESSO input:
```
&SYSTEM
  ibrav = 0, nat = 3, ntyp = 3
/
ATOMIC_SPECIES
U 238.03 U.upf
Tl 204.38 Tl.upf
Re 186.21 Re.upf
ATOMIC_POSITIONS crystal
U 0.000 0.000 0.000
Tl 0.500 0.500 0.500
Re 0.250 0.250 0.250
CELL_PARAMETERS angstrom
0.000 3.311 3.311
3.311 0.000 3.311
3.311 3.311 0.000
```

***

b | A relaxed UTlRe crystal. Source: OQMD, functional GGA-PBE. Values from VASP.

Output
**Crystal system**: cubic

Geometry as Quantum ESPRESSO input:
```
&SYSTEM
  ibrav = 0, nat = 3, ntyp = 3
/
ATOMIC_SPECIES
U 238.03 U.upf
Tl 204.38 Tl.upf
Re 186.21 Re.upf
ATOMIC_POSITIONS crystal
U 0.000 0.000 0.000
Tl 0.250 0.250 0.250
Re 0.750 0.750 0.750
CELL_PARAMETERS angstrom
0.000 3.360 3.360
3.360 0.000 3.360
3.360 3.360 0.000
```

***

Result of the stability comparison: b is the least stable of them.